1 | This record from the Alexandria database describes a relaxed structure of InOsCl2. The functional is PBE-GGA.

abc: 4.139 4.139 8.825
angles: 90.00 90.00 90.00
Space group I-4m2 (No. 119)
Asymmetric unit:
In 0.000 0.000 0.000 (multiplicity 2)
Os 0.000 0.500 0.750 (multiplicity 2)
Cl 0.000 0.000 0.500 (multiplicity 2)
Cl 0.000 0.500 0.250 (multiplicity 2)

2 | This record from the Alexandria database describes a relaxed structure of InOsCl2. The functional is PBE-GGA.

abc: 2.874 4.198 8.867
angles: 90.00 90.00 90.00
Space group Pmm2 (No. 25)
Asymmetric unit:
In 0.000 0.000 0.000 (multiplicity 1)
Os 0.500 0.500 0.868 (multiplicity 1)
Cl 0.000 0.000 0.279 (multiplicity 1)
Cl 0.500 0.500 0.621 (multiplicity 1)

Of the structures shown above, 2 is the most stable.